Record 1
Density functional theory data (PBE) for a relaxed structure of PrY5Zn6.

Output
magnetization = 0.0 μB per cell
formation energy = -344 meV per atom
crystal system = orthorhombic
VASP energy = -4.073 eV/atom

Geometry as extended XYZ:
```
12
Lattice="-3.2344 -0.5439 3.8813 -5.5765 0.5754 -4.5652 -1.5653 -7.8453 0.9227" Properties=species:S:1:pos:R:3 pbc="T T T"
Pr 0.0000 0.0000 0.0000
Y -5.9879 -5.3334 0.9163
Y -1.5998 -2.8186 1.5984
Y -2.7882 0.2877 -2.2826
Y -3.2000 -5.5706 3.2057
Y -4.3883 -2.4804 -0.6774
Zn -7.3646 -2.6901 0.1397
Zn -4.6454 -2.9706 2.3657
Zn -3.0500 -0.1241 0.7678
Zn -5.7609 0.1556 -1.4517
Zn -5.7308 -4.8432 -2.1268
Zn -3.0116 -5.1238 0.0991
```



Record 2
Density functional theory data (PBE) for a relaxed structure of ZrGeMo3.

Output
magnetization = 0.0 μB per cell
formation energy = 935 meV per atom
crystal system = cubic
energy above the most stable polymorph in this dataset = 0 meV per atom
VASP energy = -8.197 eV/atom

Geometry as extended XYZ:
```
5
Lattice="-4.4684 1.1335 -0.4807 -1.2166 -4.3430 1.0681 -0.1892 1.1559 4.4845" Properties=species:S:1:pos:R:3 pbc="T T T"
Mo -0.6083 -2.1715 0.5341
Mo -0.0946 0.5780 2.2423
Mo -2.2342 0.5667 -0.2404
Ge 0.0000 0.0000 0.0000
Zr -2.9371 -1.0268 2.5359
```